[1]
Entry from Alexandria via LeMat-Bulk: Ac2La3Te8 after structural relaxation (GGA-PBE).

Structure (POSCAR):
```
Ac2La3Te8
1.0
5.614 -8.030 0.000
5.614 8.030 0.000
0.000 0.000 5.487
Ac La Te
2 3 8
direct
0.238 0.762 0.000
0.762 0.238 0.000
0.221 0.221 0.500
0.500 0.500 0.000
0.779 0.779 0.500
0.125 0.875 0.500
0.141 0.385 0.000
0.384 0.616 0.500
0.385 0.141 0.000
0.615 0.859 0.000
0.616 0.384 0.500
0.859 0.615 0.000
0.875 0.125 0.500
```

theoretical density	6.35	g cm⁻³
size of the total moment	0.000	μB per atom
final energy	-5.12	eV per atom
formation energy from raw total energies	-1.42	eV per atom
offset from the most stable computed form	0.00	eV per formula unit

***

[2]
Entry from Alexandria via LeMat-Bulk: SrAl2CdCl after structural relaxation (GGA-PBE).

Structure (POSCAR):
```
SrAl2CdCl
1.0
6.390 0.000 0.000
0.000 6.390 0.000
0.000 0.000 6.505
Sr Al Cd Cl
1 2 1 1
direct
0.000 0.000 0.000
0.000 0.500 0.000
0.500 0.000 0.000
0.000 0.000 0.500
0.500 0.500 0.500
```

theoretical density	1.81	g cm⁻³
size of the total moment	0.211	μB per atom
final energy	-1.58	eV per atom
formation energy from raw total energies	0.81	eV per atom

***

[3]
Entry from Alexandria via LeMat-Bulk: CrSbMo2 after structural relaxation (GGA-PBE).

Structure (POSCAR):
```
CrSbMo2
1.0
2.738 -4.364 0.000
2.738 4.364 0.000
-0.934 0.000 2.776
Cr Sb Mo
1 1 2
direct
0.000 0.000 0.000
0.500 0.500 0.000
0.000 0.500 0.500
0.500 0.000 0.500
```

theoretical density	9.15	g cm⁻³
size of the total moment	0.518	μB per atom
final energy	-8.40	eV per atom
formation energy from raw total energies	0.45	eV per atom